[1]
## ScSbTeN2 (PBE)

Data for crystalline ScSbTeN2 at its relaxed geometry.

Values from the calculation:
As for the relative energy among the computed polymorphs: 101 meV per atom. The formation energy (no corrections) is 3.9 eV/f.u. For the volume, the calculation gives 100 Å³ per cell. For the size of the total moment, the calculation gives 0.000 μB/f.u.

Cell lengths 4.1040, 4.1040, 5.9537 Å; angles 90.00, 90.00, 90.00 degrees
Last column: nearest neighbours and their distance in Å.
Fractional coordinates of all 5 atoms:
Sc1 0.5000 0.5000 0.5000  4 Te 2.90
Sb1 0.0000 0.0000 0.0000  4 N 2.05
Te1 0.0000 0.0000 0.5000  4 Sc 2.90, 2 Sb 2.98
N1 0.0000 0.5000 0.0000  2 Sb 2.05
N2 0.5000 0.0000 0.0000  2 Sb 2.05

***

[2]
## ScSb2TeN (PBE)

Data for crystalline ScSb2TeN at its relaxed geometry.

Values from the calculation:
As for the relative energy among the computed polymorphs: 0 meV per atom. The formation energy (no corrections) is 1.0 eV/f.u. For the volume, the calculation gives 107 Å³ per cell. For the size of the total moment, the calculation gives 0.000 μB/f.u.

Cell lengths 4.7437, 4.7437, 4.7556 Å; angles 90.00, 90.00, 90.00 degrees
Last column: nearest neighbours and their distance in Å.
Fractional coordinates of all 5 atoms:
Sc1 0.5000 0.5000 0.5000  4 Te 3.35, 8 Sb 3.36
Sb1 0.0000 0.5000 0.0000  2 N 2.37
Sb2 0.5000 0.0000 0.0000  2 N 2.37
Te1 0.0000 0.0000 0.5000  2 N 2.38
N1 0.0000 0.0000 0.0000  4 Sb 2.37, 2 Te 2.38

***

[3]
## ScSbTeN2 (PBE)

Data for crystalline ScSbTeN2 at its relaxed geometry.

Values from the calculation:
As for the relative energy among the computed polymorphs: 0 meV per atom. The formation energy (no corrections) is 3.3 eV/f.u. For the volume, the calculation gives 108 Å³ per cell. For the size of the total moment, the calculation gives 2.137 μB/f.u.

Cell lengths 4.3134, 4.3134, 5.7931 Å; angles 90.00, 90.00, 90.00 degrees
Last column: nearest neighbours and their distance in Å.
Fractional coordinates of all 5 atoms:
Sc1 0.0000 0.0000 0.0000  4 N 2.16
Sb1 0.5000 0.5000 0.5000  4 Te 3.05
Te1 0.0000 0.0000 0.5000  2 Sc 2.90, 4 Sb 3.05
N1 0.0000 0.5000 0.0000  2 Sc 2.16
N2 0.5000 0.0000 0.0000  2 Sc 2.16

***

> What is the relative energy among the computed polymorphs in the first record?

101 meV per atom

***

> Which value of formation energy (no corrections) does entry 2 give?

1.0 eV/f.u.

***

> Which value of size of the total moment does entry 1 give?

0.000 μB/f.u.

***

> The lowest volume belongs to which entry?

number 1